! PBE with a Hubbard U CsPrCrF6, optimized geometry; values from VASP
! * V: 18.582 Å³ per atom
! * total magnetic moment: 0.44 μB per atom
! * symmetry: No. 74
! * uncorrected energy: -5.979 eV/atom
&SYSTEM
  ibrav = 0, nat = 18, ntyp = 4
/
ATOMIC_SPECIES
Cs 132.91 Cs.upf
Pr 140.91 Pr.upf
Cr 52.00 Cr.upf
F 19.00 F.upf
CELL_PARAMETERS angstrom
-3.944 3.967 5.345
3.944 -3.967 5.345
3.944 3.967 -5.345
ATOMIC_POSITIONS angstrom
Cs 0.000 1.983 1.697
Cs 3.944 1.983 3.647
Pr 1.972 1.983 -2.672
Pr 1.972 -1.983 2.672
Cr 3.944 0.000 0.000
Cr 0.000 0.000 5.345
F 3.944 -1.983 3.975
F 3.944 1.983 -1.224
F 2.449 0.070 1.409
F 5.440 0.070 1.409
F 2.449 4.036 -1.409
F 1.496 0.070 3.936
F 2.449 3.897 1.409
F 1.496 -0.070 6.754
F -1.496 3.897 3.936
F 1.496 3.897 3.936
F 0.000 1.983 6.569
F 0.000 5.950 1.370